# LiCuAg2Sb PBE optimized geometry
# density: 6.499 g/cm3
# E: -2.88 eV/atom
# raw formation energy: 288 meV per atom
data_LiCuAg2Sb
_chemical_formula_sum 'Li1 Cu1 Ag2 Sb1'
_cell_length_a 4.842
_cell_length_b 4.842
_cell_length_c 4.447
_cell_angle_alpha 90.00
_cell_angle_beta 90.00
_cell_angle_gamma 90.00
_space_group_name_H-M_alt 'P 4/m m m'
_space_group_IT_number 123
_space_group_name_Hall '-P 4 2'
loop_
_atom_site_label
_atom_site_type_symbol
_atom_site_fract_x
_atom_site_fract_y
_atom_site_fract_z
_atom_site_occupancy
Li1 Li 0.000 0.000 0.000 1
Cu1 Cu 0.000 0.000 0.500 1
Ag1 Ag 0.000 0.500 0.500 1
Sb1 Sb 0.500 0.500 0.000 1